ThGaF | PBE | optimized geometry

Geometry as POSCAR:
```
ThGaF
1.0
-2.575 -1.235 -2.241
3.265 -1.191 -0.155
-3.081 -9.597 8.831
Ga F Th
2 2 2
direct
0.610 0.219 0.000
0.546 0.092 0.500
0.543 0.086 0.296
0.543 0.086 0.704
0.212 0.425 0.821
0.212 0.425 0.179
```

Properties
E_form (uncorrected)	-1.3552	eV per atom
symmetry	Amm2, No. 38
V	72	Å³/f.u.
DOS at the Fermi energy	3.86	states/eV/cell

***

Fe2SbPt | PBE | optimized geometry

Geometry as POSCAR:
```
Fe2SbPt
1.0
-6.457 -5.093 -2.320
-4.379 -7.121 -1.769
-6.019 -6.048 0.442
Fe Pt Sb
2 1 1
direct
0.998 0.998 0.998
0.502 0.502 0.502
0.250 0.250 0.250
0.750 0.750 0.750
```

Properties
E_form (uncorrected)	0.3093	eV per atom
symmetry	R-3m, No. 166
V	63	Å³/f.u.
DOS at the Fermi energy	3.93	states/eV/cell

***

SiAgHg2 | PBE | optimized geometry

Geometry as POSCAR:
```
SiAgHg2
1.0
6.656 -0.058 0.069
4.158 5.198 -0.069
-4.787 -3.874 2.527
Ag Hg Si
1 2 1
direct
0.281 0.781 0.500
0.028 0.028 0.000
0.721 0.221 0.500
0.470 0.470 0.000
```

Properties
E_form (uncorrected)	0.3116	eV per atom
symmetry	Imm2, No. 44
V	87	Å³/f.u.
DOS at the Fermi energy	1.56	states/eV/cell

***

SiSeN2F | PBE | optimized geometry

Geometry as POSCAR:
```
SiSeN2F
1.0
-0.973 2.340 -3.109
-0.029 -3.209 -2.406
-4.342 -0.626 0.887
Si N Se F
1 2 1 1
direct
0.500 0.500 0.500
0.000 0.500 0.000
0.500 0.000 0.000
0.000 0.000 0.500
0.000 0.000 0.000
```

Properties
E_form (uncorrected)	2.1295	eV per atom
symmetry	P4/mmm, No. 123
V	72	Å³/f.u.
DOS at the Fermi energy	2.40	states/eV/cell
ΔE to the lowest computed polymorph	2035	meV per atom

***

Sm4TlIn5 | PBE | optimized geometry

Geometry as POSCAR:
```
Sm4TlIn5
1.0
-0.559 1.759 -7.687
-9.623 -4.118 -0.243
-2.819 6.487 1.690
Sm Tl In
8 2 10
direct
0.808 0.000 0.754
0.510 0.683 0.000
0.510 0.317 0.000
0.808 0.000 0.246
0.192 0.500 0.254
0.490 0.817 0.500
0.490 0.183 0.500
0.192 0.500 0.746
0.461 0.000 0.000
0.539 0.500 0.500
0.172 0.808 0.798
0.172 0.192 0.798
0.861 0.500 0.000
0.172 0.808 0.202
0.172 0.192 0.202
0.828 0.692 0.298
0.828 0.308 0.298
0.139 0.000 0.500
0.828 0.308 0.702
0.828 0.692 0.702
```

Properties
symmetry	Pmmn, No. 59
V	301	Å³/f.u.
DOS at the Fermi energy	18.43	states/eV/cell
ΔE_f	-163	kJ/mol of formula units

***

BaZn2CuF8 | PBE | optimized geometry

Geometry as POSCAR:
```
BaZn2CuF8
1.0
4.717 0.308 -0.015
0.361 5.220 -0.281
0.002 -0.360 7.618
Ba Zn Cu F
1 2 1 8
direct
0.000 0.000 0.500
0.462 0.456 0.812
0.538 0.544 0.188
0.000 0.000 0.000
0.144 0.782 0.178
0.650 0.707 0.978
0.847 0.241 0.210
0.856 0.218 0.822
0.350 0.293 0.022
0.153 0.759 0.790
0.575 0.724 0.420
0.425 0.276 0.580
```

Properties
E_form (uncorrected)	-2.4480	eV per atom
symmetry	P-1, No. 2
V	186	Å³/f.u.

***

Sc2Zn3Si | PBE | optimized geometry

Geometry as POSCAR:
```
Sc2Zn3Si
1.0
5.217 0.162 -1.234
-1.900 4.861 -1.234
-0.114 -0.173 8.066
Sc Zn Si
4 6 2
direct
0.250 0.750 0.500
0.752 0.752 0.000
0.750 0.250 0.500
0.248 0.248 0.000
0.665 0.169 0.834
0.831 0.335 0.166
0.335 0.831 0.166
0.169 0.665 0.834
0.833 0.833 0.666
0.167 0.167 0.334
0.334 0.334 0.668
0.666 0.666 0.332
```

Properties
E_form (uncorrected)	-0.4643	eV per atom
symmetry	Fmmm, No. 69
V	102	Å³/f.u.
DOS at the Fermi energy	7.97	states/eV/cell

***

Tm5Bi2As2 | PBE | optimized geometry

Geometry as POSCAR:
```
Tm5Bi2As2
1.0
7.938 0.000 0.000
0.000 6.989 -3.593
0.000 -0.060 8.479
Tm Bi As
10 4 4
direct
0.000 0.000 0.000
0.500 0.500 0.000
0.842 0.777 0.244
0.158 0.466 0.244
0.342 0.966 0.244
0.658 0.277 0.244
0.158 0.223 0.756
0.842 0.534 0.756
0.658 0.034 0.756
0.342 0.723 0.756
0.000 0.204 0.409
0.500 0.704 0.409
0.000 0.796 0.591
0.500 0.296 0.591
0.644 0.853 0.000
0.356 0.147 0.000
0.144 0.647 0.000
0.856 0.353 0.000
```

Properties
symmetry	Cmce, No. 64
V	234	Å³/f.u.
DOS at the Fermi energy	16.78	states/eV/cell
ΔE_f	-823	kJ/mol of formula units

***

PmTh2Ru2 | PBE | optimized geometry

Geometry as POSCAR:
```
PmTh2Ru2
1.0
5.035 0.000 0.000
0.000 4.926 -0.025
0.000 -2.437 5.426
Pm Th Ru
1 2 2
direct
0.200 0.017 0.033
0.200 0.698 0.397
0.700 0.302 0.604
0.200 0.358 0.716
0.700 0.625 0.250
```

Properties
symmetry	Amm2, No. 38
V	134	Å³/f.u.
DOS at the Fermi energy	5.40	states/eV/cell
ΔE to the lowest computed polymorph	168	meV per atom
ΔE_f	-73	kJ/mol of formula units

***

Ta2MoHPd | PBE | optimized geometry

Geometry as POSCAR:
```
Ta2MoHPd
1.0
-0.502 0.011 4.348
-3.840 -2.055 -0.438
1.690 -3.201 0.203
H Mo Pd Ta
1 1 1 2
direct
0.000 0.000 0.000
0.500 0.500 0.500
0.000 0.000 0.500
0.000 0.500 0.000
0.500 0.000 0.000
```

Properties
DFT total energy	-8.70	eV/atom
symmetry	P4/mmm, No. 123
V	69	Å³/f.u.
DOS at the Fermi energy	3.49	states/eV/cell

***

Dy6Al2Tl | PBE | optimized geometry

Geometry as POSCAR:
```
Dy6Al2Tl
1.0
5.081 0.000 -0.195
0.000 7.207 0.000
-2.248 -3.604 7.729
Dy Al Tl
6 2 1
direct
0.170 0.424 0.340
0.830 0.084 0.660
0.830 0.576 0.660
0.500 0.258 0.000
0.170 0.916 0.340
0.500 0.742 0.000
0.667 0.667 0.334
0.333 0.333 0.666
0.000 0.000 0.000
```

Properties
symmetry	Immm, No. 71
V	280	Å³/f.u.
DOS at the Fermi energy	12.74	states/eV/cell
ΔE to the lowest computed polymorph	238	meV per atom
ΔE_f	-28	kJ/mol of formula units

***

Er5Mg3 | PBE | optimized geometry

Geometry as POSCAR:
```
Er5Mg3
1.0
-3.016 -1.865 0.941
-0.253 -1.315 -3.416
9.327 -12.922 4.283
Er Mg
5 3
direct
0.000 0.000 0.239
0.500 0.500 0.620
0.500 0.500 0.380
0.000 0.000 0.761
0.000 0.000 0.000
0.500 0.500 0.119
0.500 0.500 0.881
0.000 0.000 0.500
```

Properties
symmetry	P4/mmm, No. 123
V	222	Å³/f.u.
DOS at the Fermi energy	11.20	states/eV/cell
ΔE_f	-29	kJ/mol of formula units

***

Q: Among the records above, which one has the highest V?
A: Sm4TlIn5